Entry 1:
## Cd2InIr (PBE)

Data for a relaxed structure of Cd2InIr.

The structure belongs to space group C2/m (No. 12); the cell edges are 5.777, 10.225 and 3.115 Å and the angles 90.00°, 121.83° and 90.00°. Symmetry generates all atoms from Cd at (0.250, 0.250, 0.000), In at (0.000, 0.000, 0.000) and Ir at (0.000, 0.500, 0.000).

The value obtained for the total magnetic moment is 0.00 μB per cell. The calculation puts the formation energy at 0.173 eV/atom. The mass density comes out at 11.3 g/cm3.



Entry 2:
## Cd2InIr (PBE)

Data for a relaxed structure of Cd2InIr.

The structure belongs to space group I4/mmm (No. 139); the cell edges are 4.080, 4.080 and 9.112 Å and the angles 90.00°, 90.00° and 90.00°. Symmetry generates all atoms from Cd at (0.000, 0.500, 0.250), In at (0.000, 0.000, 0.000) and Ir at (0.000, 0.000, 0.500).

The value obtained for the total magnetic moment is 0.00 μB per cell. The calculation puts the formation energy at 0.045 eV/atom. The mass density comes out at 11.6 g/cm3.



Entry 3:
## CdIn4Ir (PBE)

Data for a relaxed structure of CdIn4Ir.

The structure belongs to space group I4/mcm (No. 140); the cell edges are 6.968, 6.968 and 11.198 Å and the angles 90.00°, 90.00° and 90.00°. Symmetry generates all atoms from Cd at (0.000, 0.000, 0.000), In at (0.155, 0.345, 0.141) and Ir at (0.000, 0.000, 0.250).

The calculation puts the excess energy over the best structure of this formula in the dataset at 0.0 kJ/mol of atoms. The value obtained for the total magnetic moment is 0.00 μB per cell. The calculation puts the formation energy at -0.065 eV/atom. The mass density comes out at 9.3 g/cm3.



Entry 4:
## Cd2InIr (PBE)

Data for a relaxed structure of Cd2InIr.

The structure belongs to space group P4/mmm (No. 123); the cell edges are 3.106, 3.106 and 8.637 Å and the angles 90.00°, 90.00° and 90.00°. Symmetry generates all atoms from Cd at (0.000, 0.000, 0.206), In at (0.500, 0.500, 0.500) and Ir at (0.500, 0.500, 0.000).

The value obtained for the total magnetic moment is 0.00 μB per cell. The calculation puts the formation energy at 0.162 eV/atom. The mass density comes out at 10.6 g/cm3.



Entry 5:
## Cd3InIr (PBE)

Data for a relaxed structure of Cd3InIr.

The structure belongs to space group Pm-3m (No. 221); the cell edges are 5.224, 5.224 and 5.224 Å and the angles 90.00°, 90.00° and 90.00°. Symmetry generates all atoms from Cd at (0.000, 0.000, 0.500), In at (0.500, 0.500, 0.500) and Ir at (0.000, 0.000, 0.000).

The calculation puts the excess energy over the best structure of this formula in the dataset at 0.0 kJ/mol of atoms. The value obtained for the total magnetic moment is 0.00 μB per cell. The calculation puts the formation energy at 0.267 eV/atom. The mass density comes out at 7.5 g/cm3.



Entry 6:
## CdInIr2 (PBE)

Data for a relaxed structure of CdInIr2.

The structure belongs to space group Cmmm (No. 65); the cell edges are 3.015, 4.999 and 9.252 Å and the angles 90.00°, 90.00° and 90.00°. Symmetry generates all atoms from Cd at (0.000, 0.000, 0.000), In at (0.000, 0.000, 0.500) and Ir at (0.000, 0.500, 0.257).

The value obtained for the total magnetic moment is 0.00 μB per cell. The calculation puts the formation energy at 0.271 eV/atom. The mass density comes out at 14.6 g/cm3.



Entry 7:
## Cd2InIr (PBE)

Data for a relaxed structure of Cd2InIr.

The structure belongs to space group Pmm2 (No. 25); the cell edges are 3.209, 4.005 and 6.033 Å and the angles 90.00°, 90.00° and 90.00°. Symmetry generates all atoms from Cd at (0.000, 0.000, 0.000), Cd at (0.500, 0.500, 0.246), In at (0.500, 0.500, 0.710) and Ir at (0.000, 0.000, 0.504).

The value obtained for the total magnetic moment is 0.00 μB per cell. The calculation puts the formation energy at 0.087 eV/atom. The mass density comes out at 11.4 g/cm3.



Entry 8:
## CdInIr2 (PBE)

Data for a relaxed structure of CdInIr2.

The structure belongs to space group R3m (No. 160, hexagonal axes); the cell edges are 2.9638, 2.9638 and 28.0600 Å and the angles 90.00°, 90.00° and 120.00°. Symmetry generates all atoms from Cd at (0.0000, 0.0000, 0.0000), In at (0.0000, 0.0000, 0.2374), Ir at (0.0000, 0.0000, 0.4887) and Ir at (0.0000, 0.0000, 0.7494).

The value obtained for the total magnetic moment is 0.00 μB per cell. The calculation puts the formation energy at 0.279 eV/atom. The mass density comes out at 14.3 g/cm3.



Entry 9:
## CdIn3Ir (PBE)

Data for a relaxed structure of CdIn3Ir.

The structure belongs to space group Pm-3m (No. 221); the cell edges are 5.215, 5.215 and 5.215 Å and the angles 90.00°, 90.00° and 90.00°. Symmetry generates all atoms from Cd at (0.000, 0.000, 0.000), In at (0.000, 0.500, 0.500) and Ir at (0.500, 0.500, 0.500).

The calculation puts the excess energy over the best structure of this formula in the dataset at 0.0 kJ/mol of atoms. The value obtained for the total magnetic moment is 0.00 μB per cell. The calculation puts the formation energy at -0.047 eV/atom. The mass density comes out at 7.6 g/cm3.



Entry 10:
## CdInIr2 (PBE)

Data for a relaxed structure of CdInIr2.

The structure belongs to space group Cm (No. 8); the cell edges are 10.525, 2.940 and 4.940 Å and the angles 90.00°, 114.27° and 90.00°. Symmetry generates all atoms from Cd at (0.000, 0.000, 0.000), In at (0.217, 0.000, 0.597), Ir at (0.254, 0.500, 0.110) and Ir at (0.464, 0.000, 0.485).

The value obtained for the total magnetic moment is 0.00 μB per cell. The calculation puts the formation energy at 0.073 eV/atom. The mass density comes out at 14.6 g/cm3.



Entry 11:
## Cd2InIr (PBE)

Data for a relaxed structure of Cd2InIr.

The structure belongs to space group I-4m2 (No. 119); the cell edges are 4.216, 4.216 and 8.526 Å and the angles 90.00°, 90.00° and 90.00°. Symmetry generates all atoms from Cd at (0.000, 0.000, 0.000), Cd at (0.000, 0.500, 0.250), In at (0.000, 0.500, 0.750) and Ir at (0.000, 0.000, 0.500).

The value obtained for the total magnetic moment is 0.00 μB per cell. The calculation puts the formation energy at 0.063 eV/atom. The mass density comes out at 11.7 g/cm3.



Entry 12:
## CdInIr2 (PBE)

Data for a relaxed structure of CdInIr2.

The structure belongs to space group F-43m (No. 216); the cell edges are 6.528, 6.528 and 6.528 Å and the angles 90.00°, 90.00° and 90.00°. Symmetry generates all atoms from Cd at (0.000, 0.000, 0.000), In at (0.250, 0.250, 0.750), Ir at (0.000, 0.000, 0.500) and Ir at (0.250, 0.250, 0.250).

The value obtained for the total magnetic moment is 0.94 μB per cell. The calculation puts the formation energy at 0.332 eV/atom. The mass density comes out at 14.6 g/cm3.



Entry 13:
## Cd4InIr (PBE)

Data for a relaxed structure of Cd4InIr.

The structure belongs to space group F-43m (No. 216); the cell edges are 7.904, 7.904 and 7.904 Å and the angles 90.00°, 90.00° and 90.00°. Symmetry generates all atoms from Cd at (0.124, 0.124, 0.376), In at (0.000, 0.000, 0.000) and Ir at (0.250, 0.250, 0.750).

The value obtained for the total magnetic moment is 0.00 μB per cell. The calculation puts the formation energy at 0.356 eV/atom. The mass density comes out at 10.2 g/cm3.



Entry 14:
## Cd2InIr (PBE)

Data for a relaxed structure of Cd2InIr.

The structure belongs to space group R3m (No. 160, hexagonal axes); the cell edges are 3.1444, 3.1444 and 28.3552 Å and the angles 90.00°, 90.00° and 120.00°. Symmetry generates all atoms from Cd at (0.0000, 0.0000, 0.0000), Cd at (0.0000, 0.0000, 0.2425), In at (0.0000, 0.0000, 0.4828) and Ir at (0.0000, 0.0000, 0.7433).

The value obtained for the total magnetic moment is 0.00 μB per cell. The calculation puts the formation energy at 0.171 eV/atom. The mass density comes out at 10.9 g/cm3.



Entry 15:
## CdIn2Ir2 (PBE)

Data for a relaxed structure of CdIn2Ir2.

The structure belongs to space group I4/mmm (No. 139); the cell edges are 4.244, 4.244 and 11.717 Å and the angles 90.00°, 90.00° and 90.00°. Symmetry generates all atoms from Cd at (0.000, 0.000, 0.000), In at (0.000, 0.500, 0.250) and Ir at (0.000, 0.000, 0.394).

The value obtained for the total magnetic moment is 0.00 μB per cell. The calculation puts the formation energy at 0.176 eV/atom. The mass density comes out at 11.4 g/cm3.